## NdSn8Rh4 (GGA-PBE)

Data for a relaxed NdSn8Rh4 crystal.

The structure in POSCAR format:
```
NdSn8Rh4
1.0
6.625 0.000 0.000
0.000 6.625 0.000
0.000 0.000 6.625
Nd Sn Rh
1 8 4
Cartesian
0.000 0.000 0.000
1.743 1.743 1.743
1.743 1.743 4.882
1.743 4.882 1.743
1.743 4.882 4.882
4.882 1.743 1.743
4.882 1.743 4.882
4.882 4.882 1.743
4.882 4.882 4.882
0.000 0.000 3.313
0.000 3.313 0.000
3.313 0.000 0.000
3.313 3.313 3.313
```

For the total energy, the calculation gives -5.5109 eV/atom. The crystal system is cubic. The formation energy is -0.42 eV/atom.

=====

## HoNp3As4 (GGA-PBE)

Data for a relaxed HoNp3As4 crystal.

The structure in POSCAR format:
```
HoNp3As4
1.0
5.806 0.000 0.000
0.000 5.806 0.000
0.000 0.000 5.806
Ho Np As
1 3 4
Cartesian
0.000 0.000 0.000
0.000 2.903 2.903
2.903 0.000 2.903
2.903 2.903 0.000
0.000 0.000 2.903
0.000 2.903 0.000
2.903 0.000 0.000
2.903 2.903 2.903
```

For the total energy, the calculation gives -8.6443 eV/atom. The crystal system is cubic. The formation energy is -0.89 eV/atom.

=====

## KHg2Pd (GGA-PBE)

Data for a relaxed KHg2Pd crystal.

The structure in POSCAR format:
```
KHg2Pd
1.0
3.615 0.000 0.000
0.000 3.615 0.000
0.000 0.000 7.743
K Hg Pd
1 2 1
Cartesian
0.000 0.000 0.000
1.808 1.808 2.386
1.808 1.808 5.358
0.000 0.000 3.872
```

For the total energy, the calculation gives -1.8437 eV/atom. The crystal system is tetragonal. The formation energy is -0.12 eV/atom. Its energy above the most stable polymorph in this dataset is 0.096 eV/atom.

=====

## V7Au (GGA-PBE)

Data for a relaxed V7Au crystal.

The structure in POSCAR format:
```
V7Au
1.0
-2.133 2.133 6.122
2.133 -2.133 6.122
2.133 2.133 -6.122
V Au
7 1
Cartesian
0.000 0.000 0.000
2.133 0.000 1.627
0.000 0.000 2.998
2.133 0.000 4.495
0.000 2.133 1.627
0.000 0.000 9.246
0.000 2.133 4.495
0.000 0.000 6.122
```

For the total energy, the calculation gives -8.4148 eV/atom. The crystal system is tetragonal. The formation energy is -0.03 eV/atom.

=====

## LiIn3Ag3 (GGA-PBE)

Data for a relaxed LiIn3Ag3 crystal.

The structure in POSCAR format:
```
LiIn3Ag3
1.0
4.762 -4.939 0.000
4.762 4.939 0.000
0.000 0.000 6.325
Li In Ag
2 6 6
Cartesian
1.771 0.000 0.000
7.754 0.000 0.000
2.381 2.470 1.600
2.381 2.470 4.726
2.381 -2.470 1.600
2.381 -2.470 4.726
4.762 0.000 1.533
4.762 0.000 4.792
4.762 3.351 3.163
4.762 2.679 0.000
2.379 0.000 3.163
7.146 0.000 3.163
4.762 -2.679 0.000
4.762 -3.351 3.163
```

For the total energy, the calculation gives -2.7271 eV/atom. The crystal system is orthorhombic. The formation energy is -0.06 eV/atom. Its energy above the most stable polymorph in this dataset is 0.026 eV/atom.

=====

## Mg3BiAs (GGA-PBE)

Data for a relaxed Mg3BiAs crystal.

The structure in POSCAR format:
```
Mg3BiAs
1.0
5.353 0.000 0.000
0.000 5.353 0.000
0.000 0.000 5.353
Mg Bi As
3 1 1
Cartesian
0.000 0.000 2.677
0.000 2.677 0.000
2.677 0.000 0.000
0.000 0.000 0.000
2.677 2.677 2.677
```

For the total energy, the calculation gives -2.2493 eV/atom. The crystal system is cubic. The formation energy is 0.41 eV/atom. Its energy above the most stable polymorph in this dataset is 0.638 eV/atom.

=====

## Gd2HoV (GGA-PBE)

Data for a relaxed Gd2HoV crystal.

The structure in POSCAR format:
```
Gd2HoV
1.0
0.000 3.795 3.795
3.795 0.000 3.795
3.795 3.795 0.000
Gd Ho V
2 1 1
Cartesian
1.898 1.898 1.898
5.693 5.693 5.693
0.000 0.000 0.000
3.795 3.795 3.795
```

For the total energy, the calculation gives -10.1462 eV/atom. The crystal system is cubic. The formation energy is 0.32 eV/atom.

=====

## K2CuRe (GGA-PBE)

Data for a relaxed K2CuRe crystal.

The structure in POSCAR format:
```
K2CuRe
1.0
2.749 0.000 0.000
0.000 4.069 0.000
0.000 0.000 10.256
K Cu Re
2 1 1
Cartesian
0.000 0.000 0.000
1.374 2.035 4.391
1.374 2.035 7.756
0.000 0.000 7.016
```

For the total energy, the calculation gives -3.7814 eV/atom. The crystal system is orthorhombic. The formation energy is 0.90 eV/atom. Its energy above the most stable polymorph in this dataset is 0.000 eV/atom.

=====

## PS3 (GGA-PBE)

Data for a relaxed PS3 crystal.

The structure in POSCAR format:
```
PS3
1.0
5.925 0.000 0.000
0.829 6.186 0.000
1.734 2.102 7.382
P S
2 6
Cartesian
0.661 2.041 0.336
7.828 6.247 7.047
3.169 6.399 5.261
2.272 2.756 1.504
4.944 7.243 5.749
3.545 1.045 1.633
6.217 5.532 5.879
5.320 1.889 2.121
```

The uncorrected formation energy is 0.0250 eV per atom. For the total energy, the calculation gives -4.4230 eV/atom. The crystal system is triclinic. Its energy above the most stable polymorph in this dataset is 0.000 eV/atom.

=====

## Np4ScPd15 (GGA-PBE)

Data for a relaxed Np4ScPd15 crystal.

The structure in POSCAR format:
```
Np4ScPd15
1.0
4.122 0.000 0.000
0.000 4.122 0.000
0.000 0.000 20.525
Np Sc Pd
4 1 15
Cartesian
0.000 0.000 2.089
0.000 0.000 6.264
0.000 0.000 14.261
0.000 0.000 18.436
0.000 0.000 10.263
0.000 2.061 0.000
0.000 2.061 4.161
0.000 2.061 8.305
0.000 2.061 12.220
0.000 2.061 16.364
2.061 0.000 0.000
2.061 0.000 4.161
2.061 0.000 8.305
2.061 0.000 12.220
2.061 0.000 16.364
2.061 2.061 2.077
2.061 2.061 6.230
2.061 2.061 10.263
2.061 2.061 14.295
2.061 2.061 18.448
```

For the total energy, the calculation gives -7.3287 eV/atom. The crystal system is tetragonal. The formation energy is -0.53 eV/atom.

=====

## ErZrSnHg (GGA-PBE)

Data for a relaxed ErZrSnHg crystal.

The structure in POSCAR format:
```
ErZrSnHg
1.0
0.000 3.621 3.621
3.621 0.000 3.621
3.621 3.621 0.000
Er Zr Sn Hg
1 1 1 1
Cartesian
0.000 0.000 0.000
3.621 3.621 3.621
5.431 5.431 5.431
1.810 1.810 1.810
```

For the total energy, the calculation gives -4.6938 eV/atom. The crystal system is cubic. The formation energy is -0.34 eV/atom.

=====

## SrCoPt2 (GGA-PBE)

Data for a relaxed SrCoPt2 crystal.

The structure in POSCAR format:
```
SrCoPt2
1.0
3.844 -2.220 0.000
3.844 2.220 0.000
-2.575 0.000 5.217
Sr Co Pt
1 1 2
Cartesian
0.000 0.000 0.000
5.121 0.000 2.393
-0.005 0.000 2.943
2.557 0.000 2.613
```

For the total energy, the calculation gives -5.5716 eV/atom. The crystal system is monoclinic. The formation energy is -0.35 eV/atom.

=====

## TbTh4Hg5 (GGA-PBE)

Data for a relaxed TbTh4Hg5 crystal.

The structure in POSCAR format:
```
TbTh4Hg5
1.0
3.473 0.000 0.000
0.000 3.473 0.000
0.000 0.000 22.421
Tb Th Hg
1 4 5
Cartesian
0.000 0.000 0.000
0.000 0.000 4.372
0.000 0.000 8.928
0.000 0.000 13.493
0.000 0.000 18.049
1.737 1.737 2.074
1.737 1.737 6.656
1.737 1.737 11.211
1.737 1.737 15.765
1.737 1.737 20.347
```

For the total energy, the calculation gives -3.8532 eV/atom. The crystal system is tetragonal. The formation energy is -0.27 eV/atom.

=====

## Cd2MoIr (GGA-PBE)

Data for a relaxed Cd2MoIr crystal.

The structure in POSCAR format:
```
Cd2MoIr
1.0
-2.168 2.168 3.698
2.168 -2.168 3.698
2.168 2.168 -3.698
Cd Mo Ir
2 1 1
Cartesian
0.000 0.000 0.000
0.000 2.168 1.849
0.000 0.000 3.698
2.168 0.000 1.849
```

For the total energy, the calculation gives -5.0243 eV/atom. The crystal system is tetragonal. The formation energy is 0.36 eV/atom. Its energy above the most stable polymorph in this dataset is 0.342 eV/atom.

=====

## AcSmY (GGA-PBE)

Data for a relaxed AcSmY crystal.

The structure in POSCAR format:
```
AcSmY
1.0
5.111 0.000 0.000
0.000 5.111 0.000
0.000 0.000 8.856
Ac Sm Y
2 2 2
Cartesian
1.278 3.834 0.000
3.834 1.278 0.000
1.278 1.278 2.644
3.834 3.834 6.212
1.278 1.278 6.125
3.834 3.834 2.731
```

For the total energy, the calculation gives -4.7932 eV/atom. The crystal system is tetragonal. The formation energy is 0.30 eV/atom. Its energy above the most stable polymorph in this dataset is 0.256 eV/atom.

=====

## CsRbZrCl6 (GGA-PBE)

Data for a relaxed CsRbZrCl6 crystal.

The structure in POSCAR format:
```
CsRbZrCl6
1.0
7.955 0.000 0.000
-3.978 6.890 0.000
0.000 0.000 13.212
Cs Rb Zr Cl
2 2 2 12
Cartesian
0.000 0.000 0.000
0.000 0.000 6.606
0.000 4.593 3.303
3.978 2.297 9.909
0.000 4.593 9.909
3.978 2.297 3.303
-1.039 2.837 8.466
-2.040 4.571 11.352
1.039 2.837 11.352
-1.001 6.371 8.466
2.976 0.519 1.860
1.937 2.318 4.746
2.040 4.571 8.466
1.001 6.371 11.352
4.979 0.519 4.746
2.939 4.053 1.860
6.018 2.318 1.860
5.017 4.053 4.746
```

The uncorrected formation energy is -1.9443 eV per atom. For the total energy, the calculation gives -4.3276 eV/atom. The crystal system is trigonal.

=====

## Mg6AlSiO8 (GGA-PBE)

Data for a relaxed Mg6AlSiO8 crystal.

The structure in POSCAR format:
```
Mg6AlSiO8
1.0
4.361 0.000 0.000
0.000 4.361 0.000
0.000 0.000 8.640
Mg Al Si O
6 1 1 8
Cartesian
0.000 0.000 0.000
0.000 2.180 2.137
0.000 2.180 6.503
2.180 0.000 2.137
2.180 0.000 6.503
2.180 2.180 0.000
0.000 0.000 4.320
2.180 2.180 4.320
0.000 0.000 2.236
0.000 0.000 6.404
0.000 2.180 0.000
0.000 2.180 4.320
2.180 0.000 0.000
2.180 0.000 4.320
2.180 2.180 2.048
2.180 2.180 6.591
```

The uncorrected formation energy is -2.1866 eV per atom. For the total energy, the calculation gives -5.8366 eV/atom. The crystal system is tetragonal. Its energy above the most stable polymorph in this dataset is 0.111 eV/atom.

=====

## CuTeWI2 (GGA-PBE)

Data for a relaxed CuTeWI2 crystal.

The structure in POSCAR format:
```
CuTeWI2
1.0
5.685 0.000 0.000
0.000 5.685 0.000
0.000 0.000 5.193
Cu Te W I
1 1 1 2
Cartesian
0.000 0.000 0.000
2.842 2.842 0.000
2.842 2.842 2.596
0.000 2.842 2.596
2.842 0.000 2.596
```

The uncorrected formation energy is 0.9402 eV per atom. For the total energy, the calculation gives -3.7181 eV/atom. The crystal system is tetragonal. Its energy above the most stable polymorph in this dataset is 0.000 eV/atom.

=====

## K2Y2Tl (GGA-PBE)

Data for a relaxed K2Y2Tl crystal.

The structure in POSCAR format:
```
K2Y2Tl
1.0
8.132 0.000 0.000
0.000 8.132 0.000
0.000 0.000 5.815
K Y Tl
4 4 2
Cartesian
1.055 3.011 0.000
3.011 7.077 0.000
5.121 1.055 0.000
7.077 5.121 0.000
1.500 5.566 2.907
2.566 1.500 2.907
5.566 6.632 2.907
6.632 2.566 2.907
0.000 0.000 0.000
4.066 4.066 0.000
```

For the total energy, the calculation gives -2.8298 eV/atom. The crystal system is tetragonal. The formation energy is 0.67 eV/atom. Its energy above the most stable polymorph in this dataset is 0.209 eV/atom.

=====

## CsBeTe2 (GGA-PBE)

Data for a relaxed CsBeTe2 crystal.

The structure in POSCAR format:
```
CsBeTe2
1.0
3.487 2.013 4.134
-3.487 2.013 4.134
0.000 -4.026 4.134
Cs Be Te
1 1 2
Cartesian
0.000 0.000 0.000
0.000 0.000 6.201
0.000 0.000 3.989
0.000 0.000 8.412
```

The uncorrected formation energy is -0.2572 eV per atom. For the total energy, the calculation gives -2.9729 eV/atom. The crystal system is trigonal. Its energy above the most stable polymorph in this dataset is 0.192 eV/atom.

=====

## Nb2TlRh2 (GGA-PBE)

Data for a relaxed Nb2TlRh2 crystal.

The structure in POSCAR format:
```
Nb2TlRh2
1.0
7.894 0.000 0.000
0.000 7.894 0.000
0.000 0.000 2.938
Nb Tl Rh
4 2 4
Cartesian
1.224 2.723 0.000
2.723 6.670 0.000
5.171 1.224 0.000
6.670 5.171 0.000
0.000 0.000 0.000
3.947 3.947 0.000
1.055 5.002 1.469
2.892 1.055 1.469
5.002 6.838 1.469
6.838 2.892 1.469
```

For the total energy, the calculation gives -7.5152 eV/atom. The crystal system is tetragonal. The formation energy is -0.07 eV/atom. Its energy above the most stable polymorph in this dataset is 0.112 eV/atom.

=====

## TaCu2P (GGA-PBE)

Data for a relaxed TaCu2P crystal.

The structure in POSCAR format:
```
TaCu2P
1.0
1.418 0.819 8.266
-1.418 0.819 8.266
0.000 -1.637 8.266
Ta Cu P
1 2 1
Cartesian
0.000 0.000 0.000
0.000 0.000 12.523
0.000 0.000 18.781
0.000 0.000 6.185
```

For the total energy, the calculation gives -6.2322 eV/atom. The crystal system is trigonal. The formation energy is 0.13 eV/atom.

=====

## P2PtAu (GGA-PBE)

Data for a relaxed P2PtAu crystal.

The structure in POSCAR format:
```
P2PtAu
1.0
0.000 3.166 3.166
3.166 0.000 3.166
3.166 3.166 0.000
P Pt Au
2 1 1
Cartesian
1.583 1.583 1.583
4.749 4.749 4.749
0.000 0.000 0.000
3.166 3.166 3.166
```

For the total energy, the calculation gives -4.7408 eV/atom. The crystal system is cubic. The formation energy is 0.29 eV/atom. Its energy above the most stable polymorph in this dataset is 0.489 eV/atom.

=====

## CeFeSi2Ni2 (GGA-PBE)

Data for a relaxed CeFeSi2Ni2 crystal.

The structure in POSCAR format:
```
CeFeSi2Ni2
1.0
4.354 0.000 0.000
0.000 4.354 0.000
0.000 0.000 4.937
Ce Fe Si Ni
1 1 2 2
Cartesian
0.000 0.000 0.000
0.000 0.000 2.468
0.000 2.177 2.468
2.177 0.000 2.468
2.177 2.177 1.217
2.177 2.177 3.720
```

The uncorrected formation energy is -0.2915 eV per atom. For the total energy, the calculation gives -6.4257 eV/atom. The crystal system is tetragonal.

=====

## Sm3Y2Sc2 (GGA-PBE)

Data for a relaxed Sm3Y2Sc2 crystal.

The structure in POSCAR format:
```
Sm3Y2Sc2
1.0
8.550 -1.722 0.000
8.550 1.722 0.000
-4.003 0.000 7.340
Sm Y Sc
3 2 2
Cartesian
0.000 0.000 0.000
2.418 0.000 2.223
10.678 0.000 5.117
-0.866 0.000 5.961
13.962 0.000 1.379
5.091 0.000 4.330
8.005 0.000 3.010
```

For the total energy, the calculation gives -5.5535 eV/atom. The crystal system is monoclinic. The formation energy is 0.12 eV/atom. Its energy above the most stable polymorph in this dataset is 0.078 eV/atom.